First-principles (GGA-PBE) data for a relaxed structure of Tm6Te3PbAu2, as listed in the Alexandria database.

Cell: 19.2013 4.1244 8.8680 Å, 90.00 108.72 90.00°
Last column: nearest neighbours and their distance in Å.
Space group C2/m (No. 12)
One atom of each set of equivalent atoms:
Tm 0.0141 0.0000 0.2592  1 Au 2.98, 2 Pb 3.03, 3 Te 3.04-3.17
Tm 0.1672 0.5000 0.5934  3 Au 2.89-2.91, 3 Te 3.05-3.13
Tm 0.1711 0.5000 0.1320  2 Au 2.92, 1 Pb 3.11, 3 Te 3.17-3.20
Te 0.0000 0.5000 0.5000  6 Tm 3.04-3.05
Te 0.1604 0.0000 0.8545  6 Tm 3.13-3.20
Pb 0.0000 0.5000 0.0000  6 Tm 3.03-3.11
Au 0.1778 0.0000 0.3702  6 Tm 2.89-2.98

Its formation energy without anion corrections is -0.953 eV/atom. As for the magnetic moment: 0.00 μB per formula unit.

=====

First-principles (GGA-PBE) data for a relaxed structure of NbCuTe2, as listed in the Alexandria database.

Cell: 6.1546 6.1546 12.4515 Å, 90.00 90.00 90.00°
Last column: nearest neighbours and their distance in Å.
Space group I-42d (No. 122)
One atom of each set of equivalent atoms:
Nb 0.0000 0.0000 0.0000  4 Te 2.75
Cu 0.0000 0.0000 0.5000  4 Te 2.61
Te 0.2305 0.2500 0.6250  2 Cu 2.61, 2 Nb 2.75

Its formation energy without anion corrections is 0.102 eV/atom. As for the magnetic moment: 2.00 μB per formula unit.

=====

First-principles (GGA-PBE) data for a relaxed structure of Sr2Hf2Mg, as listed in the Alexandria database.

Cell: 4.5548 4.5548 15.7133 Å, 90.00 90.00 90.00°
Last column: nearest neighbours and their distance in Å.
Space group I4/mmm (No. 139)
One atom of each set of equivalent atoms:
Sr 0.0000 0.5000 0.2500  4 Sr 3.22, 4 Hf 3.52
Hf 0.0000 0.0000 0.0795  1 Hf 2.50
Mg 0.0000 0.0000 0.5000  8 Hf 3.45

The formation energy comes out at 99.2 kJ/mol of atoms. As for the magnetic moment: 0.00 μB per formula unit. The energy above the most stable polymorph in this dataset comes out at 1.51 eV/f.u.

=====

First-principles (GGA-PBE) data for a relaxed structure of NdThNi2, as listed in the Alexandria database.

Cell: 6.9920 6.9920 6.9920 Å, 90.00 90.00 90.00°
Last column: nearest neighbours and their distance in Å.
Space group Fm-3m (No. 225)
One atom of each set of equivalent atoms:
Nd 0.0000 0.0000 0.0000  8 Ni 3.03
Th 0.0000 0.0000 0.5000  8 Ni 3.03
Ni 0.2500 0.2500 0.2500  4 Th 3.03, 4 Nd 3.03

The formation energy comes out at -22.6 kJ/mol of atoms. As for the magnetic moment: 0.00 μB per formula unit. The energy above the most stable polymorph in this dataset comes out at 0.58 eV/f.u.

=====

First-principles (GGA-PBE) data for a relaxed structure of LiPuUN3, as listed in the Alexandria database.

Cell: 6.8541 3.4132 7.0549 Å, 90.00 101.67 90.00°
Last column: nearest neighbours and their distance in Å.
Space group P2_1/m (No. 11)
One atom of each set of equivalent atoms:
Li 0.0799 0.2500 0.0725  4 N 1.91-2.06
Pu 0.2908 0.7500 0.8238  3 N 2.32-2.56
U 0.3107 0.7500 0.3353  2 N 2.08-2.18
N 0.0087 0.7500 0.2074  3 Li 1.95-2.06, 1 U 2.08
N 0.3644 0.2500 0.1217  1 Li 1.91
N 0.3651 0.2500 0.5771  3 U 2.18-2.39

Its formation energy without anion corrections is -1.032 eV/atom. As for the magnetic moment: 5.88 μB per formula unit.

=====

First-principles (GGA-PBE) data for a relaxed structure of Sm3FeB7, as listed in the Alexandria database.

Cell: 3.4757 16.0811 9.4890 Å, 90.00 90.00 90.00°
Last column: nearest neighbours and their distance in Å.
Space group Cmcm (No. 63)
One atom of each set of equivalent atoms:
Sm 0.0000 0.1037 0.0611  11 B 2.65-2.78
Sm 0.0000 0.2435 0.7500  10 B 2.68-2.72
Fe 0.0000 0.0566 0.7500  10 B 2.28-2.29
B 0.0000 0.2729 0.0314  3 B 1.95-1.98
B 0.0000 0.3698 0.1543  3 B 1.77-1.95
B 0.0000 0.4651 0.7500  2 B 1.70
B 0.0000 0.4756 0.1022  2 B 1.70-1.77

The formation energy comes out at -44.3 kJ/mol of atoms. As for the magnetic moment: 0.00 μB per formula unit.